A) Compound: Sb2PtW
Source: Alexandria via LeMat-Bulk
Functional: PBE-GGA
Structure: optimized geometry

Lattice parameters (Å, degrees): 4.477 4.477 7.647 90.00 90.00 90.00
Space group I4/mmm (No. 139)
Unique sites:
Sb1 0.000 0.500 0.250 [4 per cell]
Pt1 0.000 0.000 0.000 [2 per cell]
W1 0.000 0.000 0.500 [2 per cell]

## Properties
M_tot	0.00	μB/f.u.
theoretical density	13.49	Mg/m³


B) Compound: Sb2PtW
Source: Alexandria via LeMat-Bulk
Functional: PBE-GGA
Structure: optimized geometry

Lattice parameters (Å, degrees): 2.989 4.992 10.873 90.00 90.00 90.00
Space group Imm2 (No. 44)
Unique sites:
Sb1 0.000 0.000 0.000 [2 per cell]
Sb2 0.000 0.500 0.193 [2 per cell]
Pt1 0.000 0.000 0.450 [2 per cell]
W1 0.000 0.500 0.740 [2 per cell]

## Properties
M_tot	0.00	μB/f.u.
theoretical density	12.74	Mg/m³


C) Compound: Sb2PtW
Source: Alexandria via LeMat-Bulk
Functional: PBE-GGA
Structure: optimized geometry

Lattice parameters (Å, degrees): 2.935 3.928 7.925 90.00 90.00 90.00
Space group Pmm2 (No. 25)
Unique sites:
Sb1 0.000 0.000 0.000 [1 per cell]
Sb2 0.500 0.500 0.418 [1 per cell]
Pt1 0.500 0.500 0.802 [1 per cell]
W1 0.000 0.000 0.639 [1 per cell]

## Properties
M_tot	0.00	μB/f.u.
theoretical density	11.31	Mg/m³


D) Compound: Sb2PtW
Source: Alexandria via LeMat-Bulk
Functional: PBE-GGA
Structure: optimized geometry

Lattice parameters (Å, degrees): 6.766 6.766 6.766 90.00 90.00 90.00
Space group Fm-3m (No. 225)
Unique sites:
Sb1 0.250 0.250 0.250 [8 per cell]
Pt1 0.000 0.000 0.000 [4 per cell]
W1 0.000 0.000 0.500 [4 per cell]

## Properties
M_tot	0.00	μB/f.u.
theoretical density	13.35	Mg/m³


Stability check: which of them is least stable? D).


A) Compound: Sb2PtW
Source: Alexandria via LeMat-Bulk
Functional: PBE-GGA
Structure: optimized geometry

Lattice parameters (Å, degrees): 6.523 9.097 3.025 90.00 117.41 90.00
Space group C2/m (No. 12)
Unique sites:
Sb1 0.250 0.250 0.000 [4 per cell]
Pt1 0.000 0.000 0.500 [2 per cell]
W1 0.000 0.500 0.500 [2 per cell]

## Properties
M_tot	0.00	μB/f.u.
theoretical density	12.97	Mg/m³


B) Compound: Sb2PtW
Source: Alexandria via LeMat-Bulk
Functional: PBE-GGA
Structure: optimized geometry

Lattice parameters (Å, degrees): 3.2907 3.2907 25.1497 90.00 90.00 120.00
Space group R-3m (No. 166, hexagonal axes)
Unique sites:
Sb1 0.0000 0.0000 0.2494 [6 per cell]
Pt1 0.0000 0.0000 0.0000 [3 per cell]
W1 0.0000 0.0000 0.5000 [3 per cell]

## Properties
M_tot	0.00	μB/f.u.
theoretical density	13.15	Mg/m³


C) Compound: Sb2PtW
Source: Alexandria via LeMat-Bulk
Functional: PBE-GGA
Structure: optimized geometry

Lattice parameters (Å, degrees): 3.052 3.052 9.696 90.00 90.00 90.00
Space group P4mm (No. 99)
Unique sites:
Sb1 0.000 0.000 0.000 [1 per cell]
Sb2 0.500 0.500 0.400 [1 per cell]
Pt1 0.500 0.500 0.782 [1 per cell]
W1 0.000 0.000 0.609 [1 per cell]

## Properties
M_tot	0.00	μB/f.u.
theoretical density	11.44	Mg/m³


D) Compound: Sb2PtW
Source: Alexandria via LeMat-Bulk
Functional: PBE-GGA
Structure: optimized geometry

Lattice parameters (Å, degrees): 2.903 4.133 7.707 90.00 100.48 90.00
Space group Pm (No. 6)
Unique sites:
Sb1 0.000 0.000 0.000 [1 per cell]
Sb2 0.257 0.500 0.604 [1 per cell]
Pt1 0.171 0.000 0.375 [1 per cell]
W1 0.601 0.500 0.231 [1 per cell]

## Properties
M_tot	0.00	μB/f.u.
theoretical density	11.37	Mg/m³


Stability check: which of them is least stable? A).